A geometry-optimized Pm6NdEr2 structure. Source: Alexandria via LeMat-Bulk, functional PBE.

Summary:
formation enthalpy at 0 K: 0.017 eV/atom
size of the total moment: 0.0 μB/f.u.
excess energy over the best structure of this formula in the dataset: 0 meV/atom

Unit cell a=3.6274 b=8.8699 c=9.5769 alpha=90.33 beta=100.91 gamma=90.08
Last column: nearest neighbours and their distance in Å.
Positions (direct):
Pm 0.1088 0.1643 0.2188  4 Er 3.58-3.59, 7 Pm 3.61-3.67, 1 Nd 3.63
Pm 0.2213 0.8349 0.4418  2 Er 3.61, 10 Pm 3.61-3.67
Pm 0.3333 0.5009 0.6671  2 Nd 3.62, 9 Pm 3.63-3.65, 1 Er 3.64
Pm 0.6667 0.4991 0.3329  2 Nd 3.62, 9 Pm 3.63-3.65, 1 Er 3.64
Pm 0.7787 0.1651 0.5582  2 Er 3.61, 10 Pm 3.61-3.67
Pm 0.8912 0.8357 0.7812  4 Er 3.58-3.59, 7 Pm 3.61-3.67, 1 Nd 3.63
Nd 0.0000 0.5000 0.0000  6 Pm 3.62-3.63, 4 Er 3.62, 2 Nd 3.63
Er 0.4445 0.1659 0.8896  7 Pm 3.58-3.64, 3 Er 3.61-3.63, 2 Nd 3.62
Er 0.5555 0.8340 0.1104  7 Pm 3.58-3.64, 3 Er 3.61-3.63, 2 Nd 3.62